This record from the Alexandria database describes Cs3Na2MoO6 after structural relaxation. The functional is GGA+U.

crystal system = monoclinic
total energy = -4.90 eV per atom
density of states at the Fermi level = 9.83 states/eV/cell

Cell lengths 6.337, 6.337, 6.815 Å; angles 98.13, 98.13, 120.65 degrees
Sites, in units of the cell vectors:
Cs 0.172 0.828 0.500
Cs 0.828 0.172 0.500
Cs 0.500 0.500 0.500
Na 0.333 0.667 0.000
Na 0.667 0.333 0.000
Mo 0.000 0.000 0.000
O 0.940 0.684 0.835
O 0.803 0.803 0.180
O 0.060 0.316 0.165
O 0.684 0.940 0.835
O 0.197 0.197 0.820
O 0.316 0.060 0.165